1.
# PBE FePd2Pt2Rh, optimized geometry
data_FePd2Pt2Rh
_symmetry_space_group_name_H-M 'P m c 21'
_symmetry_Int_Tables_number 26
_symmetry_space_group_name_Hall 'P 2c -2'
_cell_length_a 3.8667
_cell_length_b 8.3015
_cell_length_c 5.5399
_cell_angle_alpha 90.00
_cell_angle_beta 90.00
_cell_angle_gamma 90.00
loop_
_atom_site_label
_atom_site_fract_x
_atom_site_fract_y
_atom_site_fract_z
Fe1 0.0000 0.1654 0.0000
Pd1 0.0000 0.4948 0.9998
Pd2 0.5000 0.3274 0.7515
Pt1 0.0000 0.1569 0.4984
Pt2 0.5000 0.3253 0.2451
Rh1 0.5000 0.0005 0.2473
# ΔH_f (0 K): -0.124 eV/atom
# V: 14.8 Å³/atom

***

2.
# PBE FePdPtRh, optimized geometry
data_FePdPtRh
_symmetry_space_group_name_H-M 'I -4 m 2'
_symmetry_Int_Tables_number 119
_symmetry_space_group_name_Hall 'I -4 -2'
_cell_length_a 3.8573
_cell_length_b 3.8573
_cell_length_c 7.8239
_cell_angle_alpha 90.00
_cell_angle_beta 90.00
_cell_angle_gamma 90.00
loop_
_atom_site_label
_atom_site_fract_x
_atom_site_fract_y
_atom_site_fract_z
Fe1 0.0000 0.0000 0.0000
Pd1 0.0000 0.5000 0.7500
Pt1 0.0000 0.5000 0.2500
Rh1 0.0000 0.0000 0.5000
# ΔH_f (0 K): -0.089 eV/atom
# V: 14.6 Å³/atom

***

Which value of V does entry 2 give?
14.6 Å³/atom

***

Repeat the second record exactly.
# PBE FePdPtRh, optimized geometry
data_FePdPtRh
_symmetry_space_group_name_H-M 'I -4 m 2'
_symmetry_Int_Tables_number 119
_symmetry_space_group_name_Hall 'I -4 -2'
_cell_length_a 3.8573
_cell_length_b 3.8573
_cell_length_c 7.8239
_cell_angle_alpha 90.00
_cell_angle_beta 90.00
_cell_angle_gamma 90.00
loop_
_atom_site_label
_atom_site_fract_x
_atom_site_fract_y
_atom_site_fract_z
Fe1 0.0000 0.0000 0.0000
Pd1 0.0000 0.5000 0.7500
Pt1 0.0000 0.5000 0.2500
Rh1 0.0000 0.0000 0.5000
# ΔH_f (0 K): -0.089 eV/atom
# V: 14.6 Å³/atom